First-principles (PBE-GGA) data for a relaxed LaAs2P crystal, as listed in the Alexandria database.

DFT total energy   -22.75 eV/cell
Volume   95.38 Å³/cell
Energy of formation   -0.779 eV per atom
Total magnetic moment   0.00 μB/cell

Lattice parameters (Å, degrees): 4.227 4.050 5.936 90.00 110.17 90.00
Space group Pm (No. 6)
Unique sites:
La: 0.000 0.000 0.000 x1
As: 0.281 0.000 0.571 x1
As: 0.636 0.500 0.529 x1
P: 0.550 0.500 0.121 x1

First-principles (PBE-GGA) data for a relaxed La5As4P crystal, as listed in the Alexandria database.

DFT total energy   -128.75 eV/cell
Volume   585.80 Å³/cell
Energy of formation   -1.573 eV per atom
Total magnetic moment   0.00 μB/cell
D(E_F)   2.5 states/eV/cell

Lattice parameters (Å, degrees): 4.361 6.165 21.792 90.00 90.00 90.00
Space group Immm (No. 71)
Unique sites:
La: 0.000 0.000 0.000 x2
La: 0.000 0.000 0.200 x4
La: 0.000 0.000 0.403 x4
As: 0.000 0.500 0.199 x4
As: 0.000 0.500 0.400 x4
P: 0.000 0.500 0.000 x2

First-principles (PBE-GGA) data for a relaxed LaAs2P crystal, as listed in the Alexandria database.

DFT total energy   -22.06 eV/cell
Volume   105.88 Å³/cell
Energy of formation   -0.606 eV per atom
Total magnetic moment   0.00 μB/cell
D(E_F)   1.1 states/eV/cell

Lattice parameters (Å, degrees): 4.140 4.140 6.178 90.00 90.00 90.00
Space group P4mm (No. 99)
Unique sites:
La: 0.000 0.000 0.000 x1
As: 0.000 0.000 0.476 x1
As: 0.500 0.500 0.375 x1
P: 0.500 0.500 0.993 x1

First-principles (PBE-GGA) data for a relaxed La4AsP2 crystal, as listed in the Alexandria database.

DFT total energy   -178.28 eV/cell
Volume   820.88 Å³/cell
Energy of formation   -1.342 eV per atom
Total magnetic moment   0.32 μB/cell
Relative energy among the computed polymorphs   0.000 eV per atom
D(E_F)   18.0 states/eV/cell

Lattice parameters (Å, degrees): 4.240 13.971 13.857 90.00 90.00 90.00
Space group Cmcm (No. 63)
Unique sites:
La: 0.000 0.000 0.000 x4
La: 0.000 0.274 0.123 x8
La: 0.000 0.450 0.750 x4
As: 0.000 0.103 0.750 x4
P: 0.000 0.361 0.562 x8

First-principles (PBE-GGA) data for a relaxed LaAsP crystal, as listed in the Alexandria database.

DFT total energy   -17.67 eV/cell
Volume   68.09 Å³/cell
Energy of formation   -0.893 eV per atom
Total magnetic moment   0.00 μB/cell
Relative energy among the computed polymorphs   0.000 eV per atom
D(E_F)   0.9 states/eV/cell

Lattice parameters (Å, degrees): 4.4121 4.4121 4.0387 90.00 90.00 120.00
Space group P-6m2 (No. 187)
Unique sites:
La: 0.0000 0.0000 0.0000 x1
As: 0.6667 0.3333 0.5000 x1
P: 0.3333 0.6667 0.5000 x1

First-principles (PBE-GGA) data for a relaxed La6AsP5 crystal, as listed in the Alexandria database.

DFT total energy   -160.32 eV/cell
Volume   671.71 Å³/cell
Energy of formation   -1.575 eV per atom
Total magnetic moment   0.00 μB/cell
D(E_F)   1.2 states/eV/cell

Lattice parameters (Å, degrees): 7.438 12.881 7.436 90.00 109.47 90.00
Space group C2/m (No. 12)
Unique sites:
La: 0.247 0.000 0.252 x4
La: 0.247 0.169 0.748 x8
As: 0.000 0.500 0.000 x2
P: 0.000 0.000 0.500 x2
P: 0.000 0.167 0.000 x4
P: 0.000 0.334 0.500 x4